Y2PuPaC4 | PBE | relaxed

The space group is P2/m (No. 10) and the conventional cell measures 6.1463, 3.6139 and 6.2201 Å, with angles of 90.00, 109.31 and 90.00 degrees. Symmetry generates all atoms from Y at (0.0000, 0.0000, 0.0000), Y at (0.0000, 0.5000, 0.5000), Pu at (0.5000, 0.0000, 0.5000), Pa at (0.5000, 0.5000, 0.0000), C at (0.2766, 0.5000, 0.2608) and C at (0.2779, 0.0000, 0.7511).

For the energy of formation from the pure elements, the calculation gives -217 meV/atom. The value obtained for the calculated density is 8.93 g/cm³. The value obtained for the total energy is -75.39 eV for the cell shown. The calculation puts the density of states at the Fermi level at 8.3 states/eV/f.u.